A plane-wave DFT calculation with GGA-PBE was carried out for CePu2Hg6 after structural relaxation.

Structure (POSCAR):
```
CePu2Hg6
1.0
6.0414 0.0365 -0.5063
-0.5822 6.0019 -0.6475
0.0154 0.1610 6.0626
Ce Pu Hg
1 2 6
Direct
0.0000 0.0000 0.0000
0.6687 0.6687 0.6687
0.3313 0.3313 0.3313
0.1676 0.5001 0.8324
0.8324 0.1676 0.4999
0.8324 0.4999 0.1676
0.5000 0.1677 0.8323
0.1676 0.8324 0.5001
0.5000 0.8323 0.1677
```

Calculated values
- calculated formation energy (eV per atom) = -0.255
- M_tot (μB/cell) = 12.9
- N(E_F) (states/eV per atom) = 2.4440
- symmetry = R-3m, No. 166